Arrangement one

RuBr | PBE | relaxed

The structure in extended XYZ format:
```
4
Lattice="1.845 1.065 8.178 -1.845 1.065 8.178 0.000 -2.131 8.178" Properties=species:S:1:pos:R:3 pbc="T T T"
Ru 0.000 0.000 3.554
Ru 0.000 0.000 20.981
Br 0.000 0.000 10.016
Br 0.000 0.000 14.519
```

Computed properties:
DOS(E_F) = 3.89 states/eV/cell
Magnetization = 0.00 μB per cell
ρ = 6.23 g cm⁻³
SG = R-3m (166)

---

Arrangement two

RuBr | PBE | relaxed

The structure in extended XYZ format:
```
2
Lattice="3.216 0.000 0.000 0.000 3.216 0.000 0.000 0.000 3.216" Properties=species:S:1:pos:R:3 pbc="T T T"
Ru 0.000 0.000 0.000
Br 1.608 1.608 1.608
```

Computed properties:
DOS(E_F) = 2.32 states/eV/cell
Magnetization = 0.08 μB per cell
ρ = 9.04 g cm⁻³
SG = Pm-3m (221)

---

Winner for stability: arrangement one

---

Arrangement one

RuBr | PBE | relaxed

The structure in extended XYZ format:
```
4
Lattice="0.000 3.301 3.301 3.301 0.000 3.301 3.301 3.301 0.000" Properties=species:S:1:pos:R:3 pbc="T T T"
Ru 0.825 0.825 0.825
Ru 5.777 5.777 5.777
Br 2.476 2.476 2.476
Br 4.127 4.127 4.127
```

Computed properties:
DOS(E_F) = 4.47 states/eV/cell
Magnetization = 1.90 μB per cell
ρ = 8.35 g cm⁻³
SG = Fd-3m (227)

---

Arrangement two

RuBr | PBE | relaxed

The structure in extended XYZ format:
```
4
Lattice="4.958 -1.573 0.000 4.958 1.573 0.000 -0.616 0.000 4.518" Properties=species:S:1:pos:R:3 pbc="T T T"
Ru 1.198 0.000 1.662
Ru 8.102 0.000 2.856
Br 3.648 0.000 0.838
Br 5.652 0.000 3.680
```

Computed properties:
DOS(E_F) = 4.96 states/eV/cell
Magnetization = 0.00 μB per cell
ρ = 8.53 g cm⁻³
SG = C2/m (12)

---

Arrangement three

RuBr | PBE | relaxed

The structure in extended XYZ format:
```
6
Lattice="8.553 -1.774 0.000 8.553 1.774 0.000 -1.729 0.000 5.880" Properties=species:S:1:pos:R:3 pbc="T T T"
Ru 0.000 0.000 0.000
Ru 1.211 0.000 1.968
Ru 8.092 0.000 1.864
Br 6.689 0.000 4.024
Br 11.439 0.000 2.753
Br 14.731 0.000 0.697
```

Computed properties:
DOS(E_F) = 3.16 states/eV/cell
Magnetization = 0.00 μB per cell
ρ = 5.05 g cm⁻³
SG = Cm (8)

---

Arrangement four

RuBr | PBE | relaxed

The structure in extended XYZ format:
```
6
Lattice="6.197 -1.761 0.000 6.197 1.761 0.000 -3.268 0.000 7.889" Properties=species:S:1:pos:R:3 pbc="T T T"
Ru 0.000 0.000 0.000
Ru -2.259 0.000 5.866
Ru 4.749 0.000 7.422
Br 0.645 0.000 7.562
Br 3.534 0.000 4.070
Br 6.841 0.000 1.789
```

Computed properties:
DOS(E_F) = 4.09 states/eV/cell
Magnetization = 0.00 μB per cell
ρ = 5.24 g cm⁻³
SG = Cm (8)

---

Winner for stability: arrangement three

---

Arrangement one

RuBr | PBE | relaxed

The structure in extended XYZ format:
```
2
Lattice="0.000 2.644 2.644 2.644 0.000 2.644 2.644 2.644 0.000" Properties=species:S:1:pos:R:3 pbc="T T T"
Ru 0.000 0.000 0.000
Br 2.644 2.644 2.644
```

Computed properties:
DOS(E_F) = 4.49 states/eV/cell
Magnetization = 0.55 μB per cell
ρ = 8.13 g cm⁻³
SG = Fm-3m (225)

---

Arrangement two

RuBr | PBE | relaxed

The structure in extended XYZ format:
```
16
Lattice="10.266 0.000 0.000 0.000 10.266 0.000 0.000 0.000 3.628" Properties=species:S:1:pos:R:3 pbc="T T T"
Ru 0.740 6.286 0.000
Ru 0.975 4.358 1.814
Ru 3.980 0.740 0.000
Ru 4.358 9.290 1.814
Ru 5.907 0.975 1.814
Ru 6.286 9.526 0.000
Ru 9.290 5.907 1.814
Ru 9.526 3.980 0.000
Br 1.497 8.028 1.814
Br 2.238 1.497 1.814
Br 2.769 4.717 0.000
Br 4.717 7.497 0.000
Br 5.548 2.769 0.000
Br 7.497 5.548 0.000
Br 8.028 8.769 1.814
Br 8.769 2.238 1.814
```

Computed properties:
DOS(E_F) = 11.47 states/eV/cell
Magnetization = 0.00 μB per cell
ρ = 6.29 g cm⁻³
SG = P4/m (83)

---

Winner for stability: arrangement two

---

Arrangement one

RuBr | PBE | relaxed

The structure in extended XYZ format:
```
8
Lattice="0.000 3.901 6.219 3.563 0.000 6.219 3.563 3.901 0.000" Properties=species:S:1:pos:R:3 pbc="T T T"
Ru 0.891 0.975 0.332
Ru 0.891 0.975 2.777
Ru 6.235 6.827 9.661
Ru 6.235 6.827 12.106
Br 2.672 1.314 4.664
Br 4.454 3.265 7.774
Br 2.672 4.538 4.664
Br 4.454 6.488 7.774
```

Computed properties:
DOS(E_F) = 9.57 states/eV/cell
Magnetization = 2.57 μB per cell
ρ = 6.95 g cm⁻³
SG = Fddd (70)

---

Arrangement two

RuBr | PBE | relaxed

The structure in extended XYZ format:
```
8
Lattice="-5.352 5.352 1.848 5.352 -5.352 1.848 5.352 5.352 -1.848" Properties=species:S:1:pos:R:3 pbc="T T T"
Ru 3.100 2.082 0.000
Ru 3.270 -2.251 1.848
Ru 2.082 7.603 0.000
Ru 2.251 3.270 1.848
Br 5.546 2.603 0.000
Br 2.603 5.157 0.000
Br 2.749 0.194 1.848
Br -0.194 2.749 1.848
```

Computed properties:
DOS(E_F) = 10.07 states/eV/cell
Magnetization = 0.00 μB per cell
ρ = 5.68 g cm⁻³
SG = I4/m (87)

---

Arrangement three

RuBr | PBE | relaxed

The structure in extended XYZ format:
```
4
Lattice="1.859 1.074 8.091 -1.859 1.074 8.091 0.000 -2.147 8.091" Properties=species:S:1:pos:R:3 pbc="T T T"
Ru 0.000 0.000 4.574
Ru 0.000 0.000 19.700
Br 0.000 0.000 9.932
Br 0.000 0.000 14.342
```

Computed properties:
DOS(E_F) = 3.67 states/eV/cell
Magnetization = 0.88 μB per cell
ρ = 6.20 g cm⁻³
SG = R-3m (166)

---

Winner for stability: arrangement three

---

Arrangement one

RuBr | PBE | relaxed

The structure in extended XYZ format:
```
12
Lattice="3.667 0.000 0.000 0.000 13.537 0.000 0.000 0.000 5.524" Properties=species:S:1:pos:R:3 pbc="T T T"
Ru 0.917 1.219 1.107
Ru 0.917 5.549 1.107
Ru 0.917 10.153 2.153
Ru 2.750 3.384 3.371
Ru 2.750 7.987 4.417
Ru 2.750 12.318 4.417
Br 0.917 3.384 1.934
Br 0.917 8.105 0.561
Br 0.917 12.200 0.561
Br 2.750 1.336 4.963
Br 2.750 5.432 4.963
Br 2.750 10.153 3.590
```

Computed properties:
DOS(E_F) = 8.04 states/eV/cell
Magnetization = 0.00 μB per cell
ρ = 6.57 g cm⁻³
SG = Pmmn (59)

---

Arrangement two

RuBr | PBE | relaxed

The structure in extended XYZ format:
```
2
Lattice="0.000 2.823 2.823 2.823 0.000 2.823 2.823 2.823 0.000" Properties=species:S:1:pos:R:3 pbc="T T T"
Ru 0.000 0.000 0.000
Br 4.235 4.235 4.235
```

Computed properties:
DOS(E_F) = 2.22 states/eV/cell
Magnetization = 0.00 μB per cell
ρ = 6.68 g cm⁻³
SG = F-43m (216)

---

Arrangement three

RuBr | PBE | relaxed

The structure in extended XYZ format:
```
4
Lattice="2.973 0.000 0.000 0.000 3.512 0.000 -0.094 0.000 8.410" Properties=species:S:1:pos:R:3 pbc="T T T"
Ru 0.697 0.878 3.585
Ru 2.183 2.634 4.824
Br 0.697 2.634 1.765
Br 2.182 0.878 6.644
```

Computed properties:
DOS(E_F) = 3.00 states/eV/cell
Magnetization = 0.00 μB per cell
ρ = 6.85 g cm⁻³
SG = P2_1/m (11)

---

Arrangement four

RuBr | PBE | relaxed

The structure in extended XYZ format:
```
4
Lattice="4.157 0.000 0.000 0.000 3.595 0.000 -1.794 0.000 6.612" Properties=species:S:1:pos:R:3 pbc="T T T"
Ru -0.141 0.899 3.123
Ru 2.503 2.696 3.489
Br 0.996 2.696 1.515
Br 1.366 0.899 5.097
```

Computed properties:
DOS(E_F) = 5.14 states/eV/cell
Magnetization = 0.00 μB per cell
ρ = 6.08 g cm⁻³
SG = P2_1/m (11)

---

Winner for stability: arrangement three

---

Arrangement one

Ru3Br | PBE | relaxed

The structure in extended XYZ format:
```
4
Lattice="1.429 0.825 8.645 -1.429 0.825 8.645 0.000 -1.651 8.645" Properties=species:S:1:pos:R:3 pbc="T T T"
Ru 0.000 0.000 0.000
Ru 0.000 0.000 6.549
Ru 0.000 0.000 19.384
Br 0.000 0.000 12.967
```

Computed properties:
DOS(E_F) = 4.47 states/eV/cell
Magnetization = 0.00 μB per cell
ρ = 10.40 g cm⁻³
SG = R-3m (166)

---

Arrangement two

Ru3Br | PBE | relaxed

The structure in extended XYZ format:
```
4
Lattice="4.852 -1.442 0.000 4.852 1.442 0.000 -0.178 0.000 4.438" Properties=species:S:1:pos:R:3 pbc="T T T"
Ru 0.000 0.000 0.000
Ru 2.563 0.000 3.428
Ru 6.962 0.000 1.010
Br 4.763 0.000 2.219
```

Computed properties:
DOS(E_F) = 3.74 states/eV/cell
Magnetization = 0.00 μB per cell
ρ = 10.25 g cm⁻³
SG = C2/m (12)

---

Arrangement three

Ru3Br | PBE | relaxed

The structure in extended XYZ format:
```
8
Lattice="-2.046 2.046 7.497 2.046 -2.046 7.497 2.046 2.046 -7.497" Properties=species:S:1:pos:R:3 pbc="T T T"
Ru 2.046 0.000 0.000
Ru 0.000 0.000 2.138
Ru 2.046 0.000 3.748
Ru 0.000 2.046 0.000
Ru 0.000 2.046 3.748
Ru 0.000 0.000 12.855
Br 0.000 0.000 5.947
Br 0.000 0.000 9.046
```

Computed properties:
DOS(E_F) = 10.95 states/eV/cell
Magnetization = 0.00 μB per cell
ρ = 10.14 g cm⁻³
SG = I4/mmm (139)

---

Winner for stability: arrangement one

---

Arrangement one

Ru3Br | PBE | relaxed

The structure in extended XYZ format:
```
4
Lattice="-2.028 2.028 3.668 2.028 -2.028 3.668 2.028 2.028 -3.668" Properties=species:S:1:pos:R:3 pbc="T T T"
Ru 0.000 0.000 0.000
Ru 2.028 0.000 1.834
Ru 0.000 2.028 1.834
Br 0.000 0.000 3.668
```

Computed properties:
DOS(E_F) = 4.69 states/eV/cell
Magnetization = 0.00 μB per cell
ρ = 10.54 g cm⁻³
SG = I4/mmm (139)

---

Arrangement two

Ru3Br | PBE | relaxed

The structure in extended XYZ format:
```
8
Lattice="6.113 0.000 0.000 -3.057 5.294 0.000 0.000 0.000 3.873" Properties=species:S:1:pos:R:3 pbc="T T T"
Ru 0.000 1.758 0.968
Ru -1.534 4.415 0.968
Ru 1.522 0.879 2.905
Ru 1.534 4.415 0.968
Ru 4.591 0.879 2.905
Ru 3.057 3.536 2.905
Br 0.000 3.529 2.905
Br 3.057 1.765 0.968
```

Computed properties:
DOS(E_F) = 8.81 states/eV/cell
Magnetization = 0.00 μB per cell
ρ = 10.15 g cm⁻³
SG = P6_3/mmc (194)

---

Winner for stability: arrangement one

---

Arrangement one

Ru3Br | PBE | relaxed

The structure in extended XYZ format:
```
4
Lattice="2.870 0.000 0.000 0.000 2.870 0.000 0.000 0.000 7.428" Properties=species:S:1:pos:R:3 pbc="T T T"
Ru 0.000 0.000 0.000
Ru 1.435 1.435 1.763
Ru 1.435 1.435 5.665
Br 0.000 0.000 3.714
```

Computed properties:
DOS(E_F) = 4.31 states/eV/cell
Magnetization = 0.00 μB per cell
ρ = 10.40 g cm⁻³
SG = P4/mmm (123)

---

Arrangement two

Ru3Br | PBE | relaxed

The structure in extended XYZ format:
```
4
Lattice="2.906 0.000 0.000 0.000 4.077 0.000 -1.360 0.000 5.122" Properties=species:S:1:pos:R:3 pbc="T T T"
Ru 0.000 0.000 0.000
Ru 0.060 2.038 3.850
Ru 1.486 2.038 1.272
Br -0.680 0.000 2.561
```

Computed properties:
DOS(E_F) = 4.77 states/eV/cell
Magnetization = 0.00 μB per cell
ρ = 10.48 g cm⁻³
SG = P2/m (10)

---

Winner for stability: arrangement one

---

Arrangement one

Ru3Br | PBE | relaxed

The structure in extended XYZ format:
```
4
Lattice="2.889 0.000 0.000 -1.445 2.502 0.000 0.000 0.000 8.538" Properties=species:S:1:pos:R:3 pbc="T T T"
Ru 0.000 0.000 0.000
Ru 1.445 0.834 2.015
Ru 1.445 0.834 6.523
Br 0.000 0.000 4.269
```

Computed properties:
DOS(E_F) = 3.91 states/eV/cell
Magnetization = 0.00 μB per cell
ρ = 10.31 g cm⁻³
SG = P-6m2 (187)

---

Arrangement two

Ru3Br | PBE | relaxed

The structure in extended XYZ format:
```
4
Lattice="3.922 0.000 0.000 0.000 3.922 0.000 0.000 0.000 3.922" Properties=species:S:1:pos:R:3 pbc="T T T"
Ru 0.000 0.000 1.961
Ru 0.000 1.961 0.000
Ru 1.961 0.000 0.000
Br 1.961 1.961 1.961
```

Computed properties:
DOS(E_F) = 5.18 states/eV/cell
Magnetization = 0.00 μB per cell
ρ = 10.55 g cm⁻³
SG = Pm-3m (221)

---

Arrangement three

Ru3Br | PBE | relaxed

The structure in extended XYZ format:
```
4
Lattice="-1.466 2.235 4.566 1.466 -2.235 4.566 1.466 2.235 -4.566" Properties=species:S:1:pos:R:3 pbc="T T T"
Ru 0.000 0.000 0.000
Ru 1.466 0.000 2.472
Ru 0.000 2.235 2.093
Br 0.000 0.000 4.566
```

Computed properties:
DOS(E_F) = 5.65 states/eV/cell
Magnetization = 0.00 μB per cell
ρ = 10.63 g cm⁻³
SG = Immm (71)

---

Winner for stability: arrangement one